# Rb4NpBr7, relaxed, DFT PBE-GGA
data_Rb4NpBr7
_chemical_formula_sum 'Rb4 Np1 Br7'
_cell_length_a 13.283
_cell_length_b 13.283
_cell_length_c 7.707
_cell_angle_alpha 106.45
_cell_angle_beta 106.45
_cell_angle_gamma 24.91
_symmetry_space_group_name_H-M 'P 1'
_symmetry_Int_Tables_number 1
loop_
_symmetry_equiv_pos_as_xyz
'x,y,z'
loop_
_atom_site_label
_atom_site_fract_x
_atom_site_fract_y
_atom_site_fract_z
Rb1 0.088 0.088 0.152
Rb2 0.210 0.210 0.724
Rb3 0.790 0.790 0.276
Rb4 0.912 0.912 0.848
Np1 0.500 0.500 0.500
Br1 0.000 0.000 0.500
Br2 0.218 0.218 0.199
Br3 0.395 0.395 0.558
Br4 0.444 0.444 0.122
Br5 0.556 0.556 0.878
Br6 0.605 0.605 0.442
Br7 0.782 0.782 0.801
# - Spin magnetization: 4.0 μB per formula unit
# - Density of states at the Fermi level: 0.582 states/eV/atom
# - Calculated volume: 45.7 Å³ per atom
# - Formation energy from raw total energies: -151.4 kJ per mole of atoms
# - Space-group type: C2/m



# Rb6NpBr12, relaxed, DFT PBE-GGA
data_Rb6NpBr12
_chemical_formula_sum 'Rb6 Np1 Br12'
_cell_length_a 9.841
_cell_length_b 9.841
_cell_length_c 9.841
_cell_angle_alpha 96.27
_cell_angle_beta 96.27
_cell_angle_gamma 96.27
_symmetry_space_group_name_H-M 'P 1'
_symmetry_Int_Tables_number 1
loop_
_symmetry_equiv_pos_as_xyz
'x,y,z'
loop_
_atom_site_label
_atom_site_fract_x
_atom_site_fract_y
_atom_site_fract_z
Rb1 0.130 0.829 0.665
Rb2 0.171 0.335 0.870
Rb3 0.335 0.870 0.171
Rb4 0.665 0.130 0.829
Rb5 0.829 0.665 0.130
Rb6 0.870 0.171 0.335
Np1 0.500 0.500 0.500
Br1 0.060 0.900 0.341
Br2 0.100 0.659 0.940
Br3 0.226 0.456 0.509
Br4 0.341 0.060 0.900
Br5 0.456 0.509 0.226
Br6 0.491 0.774 0.544
Br7 0.509 0.226 0.456
Br8 0.544 0.491 0.774
Br9 0.659 0.940 0.100
Br10 0.774 0.544 0.491
Br11 0.900 0.341 0.060
Br12 0.940 0.100 0.659
# - Spin magnetization: 3.2 μB per formula unit
# - Density of states at the Fermi level: 1.024 states/eV/atom
# - Calculated volume: 49.2 Å³ per atom
# - Formation energy from raw total energies: -133.8 kJ per mole of atoms
# - Space-group type: R-3



# RbNp2Br8, relaxed, DFT PBE-GGA
data_RbNp2Br8
_chemical_formula_sum 'Rb1 Np2 Br8'
_cell_length_a 8.506
_cell_length_b 8.506
_cell_length_c 9.261
_cell_angle_alpha 105.09
_cell_angle_beta 105.09
_cell_angle_gamma 53.36
_symmetry_space_group_name_H-M 'P 1'
_symmetry_Int_Tables_number 1
loop_
_symmetry_equiv_pos_as_xyz
'x,y,z'
loop_
_atom_site_label
_atom_site_fract_x
_atom_site_fract_y
_atom_site_fract_z
Rb1 0.000 0.000 0.000
Np1 0.203 0.203 0.672
Np2 0.797 0.797 0.328
Br1 0.146 0.640 0.241
Br2 0.186 0.186 0.370
Br3 0.360 0.854 0.759
Br4 0.379 0.379 0.846
Br5 0.621 0.621 0.154
Br6 0.640 0.146 0.241
Br7 0.814 0.814 0.630
Br8 0.854 0.360 0.759
# - ΔE to the lowest computed polymorph: 0.43 eV per formula unit
# - Spin magnetization: 7.0 μB per formula unit
# - Density of states at the Fermi level: 1.602 states/eV/atom
# - Calculated volume: 46.8 Å³ per atom
# - Formation energy from raw total energies: -118.2 kJ per mole of atoms
# - Space-group type: C2/m



# RbNpBr6, relaxed, DFT PBE-GGA
data_RbNpBr6
_chemical_formula_sum 'Rb1 Np1 Br6'
_cell_length_a 8.759
_cell_length_b 8.759
_cell_length_c 8.759
_cell_angle_alpha 60.00
_cell_angle_beta 60.00
_cell_angle_gamma 60.00
_symmetry_space_group_name_H-M 'P 1'
_symmetry_Int_Tables_number 1
loop_
_symmetry_equiv_pos_as_xyz
'x,y,z'
loop_
_atom_site_label
_atom_site_fract_x
_atom_site_fract_y
_atom_site_fract_z
Rb1 0.000 0.000 0.000
Np1 0.500 0.500 0.500
Br1 0.283 0.283 0.717
Br2 0.283 0.717 0.283
Br3 0.283 0.717 0.717
Br4 0.717 0.283 0.283
Br5 0.717 0.283 0.717
Br6 0.717 0.717 0.283
# - ΔE to the lowest computed polymorph: 0.20 eV per formula unit
# - Spin magnetization: 2.0 μB per formula unit
# - Density of states at the Fermi level: 1.059 states/eV/atom
# - Calculated volume: 59.4 Å³ per atom
# - Formation energy from raw total energies: -120.3 kJ per mole of atoms
# - Space-group type: Fm-3m



# Rb2NpBr7, relaxed, DFT PBE-GGA
data_Rb2NpBr7
_chemical_formula_sum 'Rb4 Np2 Br14'
_cell_length_a 10.402
_cell_length_b 10.402
_cell_length_c 12.784
_cell_angle_alpha 126.32
_cell_angle_beta 126.32
_cell_angle_gamma 49.95
_symmetry_space_group_name_H-M 'P 1'
_symmetry_Int_Tables_number 1
loop_
_symmetry_equiv_pos_as_xyz
'x,y,z'
loop_
_atom_site_label
_atom_site_fract_x
_atom_site_fract_y
_atom_site_fract_z
Rb1 0.015 0.722 0.959
Rb2 0.278 0.985 0.541
Rb3 0.722 0.015 0.459
Rb4 0.985 0.278 0.041
Np1 0.296 0.704 0.750
Np2 0.704 0.296 0.250
Br1 0.069 0.109 0.251
Br2 0.109 0.069 0.751
Br3 0.198 0.608 0.477
Br4 0.221 0.452 0.699
Br5 0.383 0.617 0.250
Br6 0.392 0.802 0.023
Br7 0.452 0.221 0.199
Br8 0.548 0.779 0.801
Br9 0.608 0.198 0.977
Br10 0.617 0.383 0.750
Br11 0.779 0.548 0.301
Br12 0.802 0.392 0.523
Br13 0.891 0.931 0.249
Br14 0.931 0.891 0.749
# - Spin magnetization: 2.0 μB per formula unit
# - Density of states at the Fermi level: 0.887 states/eV/atom
# - Calculated volume: 40.1 Å³ per atom
# - Formation energy from raw total energies: -125.4 kJ per mole of atoms
# - Space-group type: C2/c



# Rb3Np2Br9, relaxed, DFT PBE-GGA
data_Rb3Np2Br9
_chemical_formula_sum 'Rb6 Np4 Br18'
_cell_length_a 10.369
_cell_length_b 10.369
_cell_length_c 10.369
_cell_angle_alpha 84.43
_cell_angle_beta 84.43
_cell_angle_gamma 84.43
_symmetry_space_group_name_H-M 'P 1'
_symmetry_Int_Tables_number 1
loop_
_symmetry_equiv_pos_as_xyz
'x,y,z'
loop_
_atom_site_label
_atom_site_fract_x
_atom_site_fract_y
_atom_site_fract_z
Rb1 0.075 0.750 0.425
Rb2 0.250 0.575 0.925
Rb3 0.425 0.075 0.750
Rb4 0.575 0.925 0.250
Rb5 0.750 0.425 0.075
Rb6 0.925 0.250 0.575
Np1 0.149 0.149 0.149
Np2 0.351 0.351 0.351
Np3 0.649 0.649 0.649
Np4 0.851 0.851 0.851
Br1 0.066 0.274 0.914
Br2 0.086 0.934 0.726
Br3 0.093 0.407 0.250
Br4 0.226 0.434 0.586
Br5 0.250 0.093 0.407
Br6 0.274 0.914 0.066
Br7 0.407 0.250 0.093
Br8 0.414 0.774 0.566
Br9 0.434 0.586 0.226
Br10 0.566 0.414 0.774
Br11 0.586 0.226 0.434
Br12 0.593 0.750 0.907
Br13 0.726 0.086 0.934
Br14 0.750 0.907 0.593
Br15 0.774 0.566 0.414
Br16 0.907 0.593 0.750
Br17 0.914 0.066 0.274
Br18 0.934 0.726 0.086
# - Spin magnetization: 8.0 μB per formula unit
# - Density of states at the Fermi level: 0.723 states/eV/atom
# - Calculated volume: 39.3 Å³ per atom
# - Formation energy from raw total energies: -145.9 kJ per mole of atoms
# - Space-group type: R-3c



# RbNp2Br8, relaxed, DFT PBE-GGA
data_RbNp2Br8
_chemical_formula_sum 'Rb1 Np2 Br8'
_cell_length_a 10.189
_cell_length_b 10.189
_cell_length_c 5.734
_cell_angle_alpha 90.00
_cell_angle_beta 90.00
_cell_angle_gamma 120.00
_symmetry_space_group_name_H-M 'P 1'
_symmetry_Int_Tables_number 1
loop_
_symmetry_equiv_pos_as_xyz
'x,y,z'
loop_
_atom_site_label
_atom_site_fract_x
_atom_site_fract_y
_atom_site_fract_z
Rb1 0.000 0.000 0.000
Np1 0.333 0.667 0.259
Np2 0.667 0.333 0.741
Br1 0.179 0.360 0.270
Br2 0.181 0.821 0.270
Br3 0.333 0.667 0.768
Br4 0.360 0.181 0.730
Br5 0.640 0.819 0.270
Br6 0.667 0.333 0.232
Br7 0.819 0.179 0.730
Br8 0.821 0.640 0.730
# - ΔE to the lowest computed polymorph: 0.00 eV per formula unit
# - Spin magnetization: 7.0 μB per formula unit
# - Density of states at the Fermi level: 1.134 states/eV/atom
# - Calculated volume: 46.9 Å³ per atom
# - Formation energy from raw total energies: -122.0 kJ per mole of atoms
# - Space-group type: P-3



# Rb3NpBr7, relaxed, DFT PBE-GGA
data_Rb3NpBr7
_chemical_formula_sum 'Rb3 Np1 Br7'
_cell_length_a 8.068
_cell_length_b 8.068
_cell_length_c 8.879
_cell_angle_alpha 116.83
_cell_angle_beta 116.83
_cell_angle_gamma 84.17
_symmetry_space_group_name_H-M 'P 1'
_symmetry_Int_Tables_number 1
loop_
_symmetry_equiv_pos_as_xyz
'x,y,z'
loop_
_atom_site_label
_atom_site_fract_x
_atom_site_fract_y
_atom_site_fract_z
Rb1 0.000 0.000 0.000
Rb2 0.288 0.735 0.582
Rb3 0.735 0.288 0.582
Np1 0.555 0.555 0.131
Br1 0.204 0.539 0.831
Br2 0.368 0.368 0.225
Br3 0.388 0.870 0.308
Br4 0.539 0.204 0.831
Br5 0.703 0.703 0.975
Br6 0.865 0.865 0.504
Br7 0.870 0.388 0.308
# - Spin magnetization: 3.0 μB per formula unit
# - Density of states at the Fermi level: 0.274 states/eV/atom
# - Calculated volume: 41.5 Å³ per atom
# - Formation energy from raw total energies: -145.1 kJ per mole of atoms
# - Space-group type: Cm



# Rb2NpBr5, relaxed, DFT PBE-GGA
data_Rb2NpBr5
_chemical_formula_sum 'Rb8 Np4 Br20'
_cell_length_a 14.073
_cell_length_b 9.403
_cell_length_c 8.813
_cell_angle_alpha 90.00
_cell_angle_beta 90.00
_cell_angle_gamma 90.00
_symmetry_space_group_name_H-M 'P 1'
_symmetry_Int_Tables_number 1
loop_
_symmetry_equiv_pos_as_xyz
'x,y,z'
loop_
_atom_site_label
_atom_site_fract_x
_atom_site_fract_y
_atom_site_fract_z
Rb1 0.170 0.005 0.060
Rb2 0.170 0.495 0.060
Rb3 0.330 0.505 0.560
Rb4 0.330 0.995 0.560
Rb5 0.670 0.005 0.440
Rb6 0.670 0.495 0.440
Rb7 0.830 0.505 0.940
Rb8 0.830 0.995 0.940
Np1 0.002 0.250 0.565
Np2 0.498 0.750 0.065
Np3 0.502 0.250 0.935
Np4 0.998 0.750 0.435
Br1 0.010 0.250 0.906
Br2 0.072 0.541 0.662
Br3 0.072 0.959 0.662
Br4 0.177 0.250 0.383
Br5 0.198 0.750 0.347
Br6 0.302 0.250 0.847
Br7 0.323 0.750 0.883
Br8 0.428 0.041 0.162
Br9 0.428 0.459 0.162
Br10 0.490 0.750 0.406
Br11 0.510 0.250 0.594
Br12 0.572 0.541 0.838
Br13 0.572 0.959 0.838
Br14 0.677 0.250 0.117
Br15 0.698 0.750 0.153
Br16 0.802 0.250 0.653
Br17 0.823 0.750 0.617
Br18 0.928 0.041 0.338
Br19 0.928 0.459 0.338
Br20 0.990 0.750 0.094
# - Spin magnetization: 4.0 μB per formula unit
# - Density of states at the Fermi level: 0.885 states/eV/atom
# - Calculated volume: 36.4 Å³ per atom
# - Formation energy from raw total energies: -151.8 kJ per mole of atoms
# - Space-group type: Pnma



Copy entry 5 word for word.
# Rb2NpBr7, relaxed, DFT PBE-GGA
data_Rb2NpBr7
_chemical_formula_sum 'Rb4 Np2 Br14'
_cell_length_a 10.402
_cell_length_b 10.402
_cell_length_c 12.784
_cell_angle_alpha 126.32
_cell_angle_beta 126.32
_cell_angle_gamma 49.95
_symmetry_space_group_name_H-M 'P 1'
_symmetry_Int_Tables_number 1
loop_
_symmetry_equiv_pos_as_xyz
'x,y,z'
loop_
_atom_site_label
_atom_site_fract_x
_atom_site_fract_y
_atom_site_fract_z
Rb1 0.015 0.722 0.959
Rb2 0.278 0.985 0.541
Rb3 0.722 0.015 0.459
Rb4 0.985 0.278 0.041
Np1 0.296 0.704 0.750
Np2 0.704 0.296 0.250
Br1 0.069 0.109 0.251
Br2 0.109 0.069 0.751
Br3 0.198 0.608 0.477
Br4 0.221 0.452 0.699
Br5 0.383 0.617 0.250
Br6 0.392 0.802 0.023
Br7 0.452 0.221 0.199
Br8 0.548 0.779 0.801
Br9 0.608 0.198 0.977
Br10 0.617 0.383 0.750
Br11 0.779 0.548 0.301
Br12 0.802 0.392 0.523
Br13 0.891 0.931 0.249
Br14 0.931 0.891 0.749
# - Spin magnetization: 2.0 μB per formula unit
# - Density of states at the Fermi level: 0.887 states/eV/atom
# - Calculated volume: 40.1 Å³ per atom
# - Formation energy from raw total energies: -125.4 kJ per mole of atoms
# - Space-group type: C2/c



Please write out number 1 again, unchanged.
# Rb4NpBr7, relaxed, DFT PBE-GGA
data_Rb4NpBr7
_chemical_formula_sum 'Rb4 Np1 Br7'
_cell_length_a 13.283
_cell_length_b 13.283
_cell_length_c 7.707
_cell_angle_alpha 106.45
_cell_angle_beta 106.45
_cell_angle_gamma 24.91
_symmetry_space_group_name_H-M 'P 1'
_symmetry_Int_Tables_number 1
loop_
_symmetry_equiv_pos_as_xyz
'x,y,z'
loop_
_atom_site_label
_atom_site_fract_x
_atom_site_fract_y
_atom_site_fract_z
Rb1 0.088 0.088 0.152
Rb2 0.210 0.210 0.724
Rb3 0.790 0.790 0.276
Rb4 0.912 0.912 0.848
Np1 0.500 0.500 0.500
Br1 0.000 0.000 0.500
Br2 0.218 0.218 0.199
Br3 0.395 0.395 0.558
Br4 0.444 0.444 0.122
Br5 0.556 0.556 0.878
Br6 0.605 0.605 0.442
Br7 0.782 0.782 0.801
# - Spin magnetization: 4.0 μB per formula unit
# - Density of states at the Fermi level: 0.582 states/eV/atom
# - Calculated volume: 45.7 Å³ per atom
# - Formation energy from raw total energies: -151.4 kJ per mole of atoms
# - Space-group type: C2/m



- Which of these has the lowest formation energy from raw total energies?
  Rb2NpBr5



- What is the calculated volume in the third record?
  46.8 Å³ per atom